# 1
Rb2CaGaSb2: relaxed, PBE.

## Properties
Formation energy from raw total energies   -51 kJ/mol of atoms
Total magnetic moment   0.0000 μB per atom

Unit cell a=9.9710 b=9.9710 c=9.9710 alpha=137.63 beta=62.38 gamma=136.46
Closest atoms and distances in Å follow each position.
Sites, in units of the cell vectors:
Rb 0.1765 0.2390 0.4155  5 Sb 3.65-4.06, 2 Ga 3.93, 2 Ca 4.00
Rb 0.3235 0.7390 0.0625  5 Sb 3.65-4.06, 2 Ga 3.93, 2 Ca 4.00
Rb 0.6765 0.2610 0.9375  5 Sb 3.65-4.06, 2 Ga 3.93, 2 Ca 4.00
Rb 0.8235 0.7610 0.5845  5 Sb 3.65-4.06, 2 Ga 3.93, 2 Ca 4.00
Ca 0.2500 0.7500 0.5000  4 Sb 3.15
Ca 0.7500 0.2500 0.5000  4 Sb 3.15
Ga 0.2500 0.2500 0.0000  4 Sb 2.98
Ga 0.7500 0.7500 0.0000  4 Sb 2.98
Sb 0.0966 0.7693 0.8659  2 Ga 2.98, 2 Ca 3.15
Sb 0.4034 0.2693 0.6728  2 Ga 2.98, 2 Ca 3.15
Sb 0.5966 0.7307 0.3272  2 Ga 2.98, 2 Ca 3.15
Sb 0.9034 0.2307 0.1341  2 Ga 2.98, 2 Ca 3.15

# 2
RbCa2GaSe4: relaxed, PBE.

## Properties
Formation energy from raw total energies   -114 kJ/mol of atoms
Total magnetic moment   0.0000 μB per atom

Unit cell a=8.6566 b=8.6566 c=8.6566 alpha=119.27 beta=118.95 gamma=91.54
Closest atoms and distances in Å follow each position.
Sites, in units of the cell vectors:
Rb 0.5000 0.0000 0.0000  6 Se 3.19-3.31
Rb 0.5000 0.5000 0.5000  6 Se 3.19-3.31
Ca 0.0000 0.0000 0.0000  4 Se 2.95
Ca 0.0000 0.0000 0.5000  6 Se 2.86-3.03
Ca 0.0000 0.5000 0.0000  6 Se 2.86-3.03
Ca 0.5000 0.0000 0.5000  4 Se 2.95
Ga 0.0000 0.5000 0.5000  2 Se 2.39
Ga 0.5000 0.5000 0.0000  2 Se 2.39
Se 0.1741 0.6975 0.4766  1 Ga 2.39
Se 0.2361 0.2105 0.4743  3 Ca 2.86-2.95, 1 Rb 3.19
Se 0.2361 0.7618 0.0257  3 Ca 2.86-2.95, 1 Rb 3.19
Se 0.2791 0.3025 0.9766  1 Ga 2.39
Se 0.7209 0.6975 0.0234  1 Ga 2.39
Se 0.7639 0.2382 0.9743  3 Ca 2.86-2.95, 1 Rb 3.19
Se 0.7639 0.7895 0.5257  3 Ca 2.86-2.95, 1 Rb 3.19
Se 0.8259 0.3025 0.5234  1 Ga 2.39

# 3
RbSrCa2Ga: relaxed, PBE.

## Properties
Formation energy from the elements   -0.05 eV/atom
Total magnetic moment   0.0000 μB per atom

Unit cell a=6.0630 b=6.0630 c=6.3812 alpha=90.00 beta=90.00 gamma=90.00
Closest atoms and distances in Å follow each position.
Sites, in units of the cell vectors:
Rb 0.0000 0.0000 0.0000  4 Sr 4.29, 8 Ca 4.40
Sr 0.5000 0.5000 0.0000  2 Ga 3.19
Ca 0.0000 0.5000 0.5000  2 Ga 3.03
Ca 0.5000 0.0000 0.5000  2 Ga 3.03
Ga 0.5000 0.5000 0.5000  4 Ca 3.03, 2 Sr 3.19

# 4
Rb2CaTiGa: relaxed, PBE.

## Properties
Formation energy from the elements   1.03 eV/atom
Total magnetic moment   0.0508 μB per atom

Unit cell a=6.5468 b=6.5468 c=6.0130 alpha=90.00 beta=90.00 gamma=90.00
Closest atoms and distances in Å follow each position.
Sites, in units of the cell vectors:
Rb 0.0000 0.5000 0.0000  2 Ga 3.27
Rb 0.5000 0.0000 0.0000  2 Ga 3.27
Ca 0.0000 0.0000 0.5000  2 Ga 3.01
Ti 0.5000 0.5000 0.5000  8 Rb 4.44, 4 Ca 4.63
Ga 0.0000 0.0000 0.0000  2 Ca 3.01, 4 Rb 3.27